# Fe4TcOs

An optimized crystal structure of Fe4TcOs (GGA-PBE, Alexandria).

Output
The calculation puts the formation enthalpy at 0 K at 0.046 eV/atom. As for the symmetry: F-43m, No. 216. Its crystal system is cubic. The total moment is 5.503 μB per cell.

Lattice parameters (Å, degrees): 4.659 4.659 4.659 60.00 60.00 60.00
Atoms (fractional coordinates):
Fe 0.375 0.375 0.375
Tc 0.000 0.000 0.000
Fe 0.375 0.874 0.375
Fe 0.874 0.375 0.375
Fe 0.375 0.375 0.874
Os 0.750 0.750 0.750